[1]
Crystalline ZrInFeAg at its relaxed geometry. Source: OQMD, functional GGA-PBE.

Output
Offset from the most stable computed form: 0.000 kcal/mol of atoms
Total magnetization: 0.450 μB/atom
Space-group type: F-43m

a = 4.686 Å, b = 4.686 Å, c = 4.686 Å
α = 60.00°, β = 60.00°, γ = 60.00°
Fractional positions:
In  0.000  0.000  0.000
Zr  0.500  0.500  0.500
Fe  0.750  0.750  0.750
Ag  0.250  0.250  0.250



[2]
Crystalline CsKZrS3 at its relaxed geometry. Source: OQMD, functional GGA-PBE.

Output
Offset from the most stable computed form: 0.000 kcal/mol of atoms
Total magnetization: 0.000 μB/atom
Space-group type: P2_1/m

a = 8.326 Å, b = 3.923 Å, c = 10.461 Å
α = 90.00°, β = 94.95°, γ = 90.00°
Fractional positions:
Cs  0.577  0.750  0.154
Cs  0.423  0.250  0.846
S  0.337  0.250  0.309
S  0.827  0.250  0.980
S  0.663  0.750  0.691
S  0.952  0.750  0.291
S  0.173  0.750  0.020
S  0.048  0.250  0.709
K  0.233  0.750  0.513
K  0.767  0.250  0.487
Zr  0.912  0.750  0.828
Zr  0.088  0.250  0.172



[3]
Crystalline Ta2Cd3Mo4N3 at its relaxed geometry. Source: OQMD, functional GGA-PBE.

Output
Total magnetization: 0.000 μB/atom
Space-group type: C2/c
Total energy: -8.020 eV/atom

a = 5.392 Å, b = 5.392 Å, c = 14.477 Å
α = 100.33°, β = 100.33°, γ = 60.14°
Fractional positions:
Mo  0.827  0.952  0.923
Mo  0.048  0.173  0.577
Mo  0.122  0.306  0.923
Mo  0.694  0.878  0.577
Mo  0.306  0.122  0.423
Mo  0.952  0.827  0.423
Mo  0.878  0.694  0.077
Mo  0.173  0.048  0.077
N  0.348  0.805  0.501
N  0.652  0.195  0.499
N  0.195  0.652  0.999
N  0.500  0.000  0.000
N  0.805  0.348  0.001
N  0.000  0.500  0.500
Cd  0.770  0.578  0.746
Cd  0.578  0.770  0.246
Cd  0.932  0.068  0.250
Cd  0.230  0.422  0.254
Cd  0.422  0.230  0.754
Cd  0.068  0.932  0.750
Ta  0.474  0.653  0.915
Ta  0.653  0.474  0.415
Ta  0.347  0.526  0.585
Ta  0.526  0.347  0.085



[4]
Crystalline AcTmTa at its relaxed geometry. Source: OQMD, functional GGA-PBE.

Output
Offset from the most stable computed form: 5.514 kcal/mol of atoms
Total magnetization: 0.360 μB/atom
Space-group type: F-43m
E_form: 1.53 eV/atom

a = 5.198 Å, b = 5.198 Å, c = 5.198 Å
α = 60.00°, β = 60.00°, γ = 60.00°
Site moments in Bohr magnetons follow the coordinates.
Fractional positions:
Ta  0.250  0.250  0.250  0.52
Tm  0.750  0.750  0.750  0.05
Ac  0.000  0.000  0.000  0.16



[5]
Crystalline Dy2Tc3Ge5 at its relaxed geometry. Source: OQMD, functional GGA-PBE.

Output
Total magnetization: 0.002 μB/atom
Space-group type: Ibam
Total energy: -6.832 eV/atom

a = 8.595 Å, b = 8.595 Å, c = 8.595 Å
α = 110.04°, β = 83.05°, γ = 141.11°
Fractional positions:
Tc  0.651  0.082  0.733
Tc  0.250  0.250  0.000
Tc  0.349  0.918  0.267
Tc  0.151  0.418  0.569
Tc  0.849  0.582  0.431
Tc  0.750  0.750  0.000
Ge  0.588  0.314  0.902
Ge  0.250  0.750  0.500
Ge  0.750  0.250  0.500
Ge  0.954  0.750  0.204
Ge  0.412  0.686  0.098
Ge  0.912  0.814  0.726
Ge  0.454  0.250  0.204
Ge  0.088  0.186  0.274
Ge  0.046  0.250  0.796
Ge  0.546  0.750  0.796
Dy  0.361  0.239  0.600
Dy  0.639  0.761  0.400
Dy  0.861  0.261  0.122
Dy  0.139  0.739  0.878



[6]
Crystalline Mg2Zr2CuAgAu2 at its relaxed geometry. Source: OQMD, functional GGA-PBE.

Output
Total magnetization: 0.000 μB/atom
Space-group type: P-4m2
Total energy: -4.559 eV/atom

a = 4.699 Å, b = 4.699 Å, c = 6.690 Å
α = 90.00°, β = 90.00°, γ = 90.00°
Fractional positions:
Zr  0.000  0.500  0.738
Zr  0.500  0.000  0.262
Cu  0.000  0.000  0.500
Mg  0.000  0.500  0.253
Mg  0.500  0.000  0.747
Au  0.500  0.500  0.500
Au  0.000  0.000  0.000
Ag  0.500  0.500  0.000



[7]
Crystalline Cu2Ag3 at its relaxed geometry. Source: OQMD, functional GGA-PBE.

Output
Offset from the most stable computed form: 0.973 kcal/mol of atoms
Space-group type: Cm
E_form: 0.07 eV/atom

a = 9.795 Å, b = 9.795 Å, c = 5.737 Å
α = 98.74°, β = 98.74°, γ = 16.58°
Fractional positions:
Ag  0.198  0.198  0.094
Ag  0.994  0.994  0.510
Ag  0.591  0.591  0.282
Ag  0.808  0.808  0.905
Ag  0.812  0.812  0.406
Ag  0.196  0.196  0.600
Cu  0.995  0.995  0.988
Cu  0.409  0.409  0.186
Cu  0.405  0.405  0.724
Cu  0.592  0.592  0.805



[8]
Crystalline TmScAg2Sn2 at its relaxed geometry. Source: OQMD, functional GGA-PBE.

Output
Total magnetization: 0.003 μB/atom
Space-group type: P3m1
Total energy: -4.586 eV/atom

a = 4.654 Å, b = 4.654 Å, c = 7.126 Å
α = 90.00°, β = 90.00°, γ = 120.00°
Fractional positions:
Sn  0.667  0.333  0.035
Sn  0.333  0.667  0.546
Tm  0.000  0.000  0.261
Sc  0.000  0.000  0.762
Ag  0.333  0.667  0.946
Ag  0.667  0.333  0.452



[9]
Crystalline ThTcW at its relaxed geometry. Source: OQMD, functional GGA-PBE.

Output
Offset from the most stable computed form: 16.989 kcal/mol of atoms
Total magnetization: 0.000 μB/atom
Space-group type: F-43m
E_form: 1.40 eV/atom

a = 4.522 Å, b = 4.522 Å, c = 4.522 Å
α = 60.00°, β = 60.00°, γ = 60.00°
Fractional positions:
Tc  0.500  0.500  0.500
Th  0.250  0.250  0.250
W  0.000  0.000  0.000



[10]
Crystalline NaScMoOs at its relaxed geometry. Source: OQMD, functional GGA-PBE.

Output
Offset from the most stable computed form: 13.184 kcal/mol of atoms
Total magnetization: 0.662 μB/atom
Space-group type: F-43m

a = 4.634 Å, b = 4.634 Å, c = 4.634 Å
α = 60.00°, β = 60.00°, γ = 60.00°
Fractional positions:
Mo  0.000  0.000  0.000
Sc  0.250  0.250  0.250
Os  0.500  0.500  0.500
Na  0.750  0.750  0.750



[11]
Crystalline HfBeAgAu at its relaxed geometry. Source: OQMD, functional GGA-PBE.

Output
Offset from the most stable computed form: 0.833 kcal/mol of atoms
Total magnetization: 0.000 μB/atom
Space-group type: F-43m

a = 4.538 Å, b = 4.538 Å, c = 4.538 Å
α = 60.00°, β = 60.00°, γ = 60.00°
Fractional positions:
Au  0.750  0.750  0.750
Ag  0.500  0.500  0.500
Hf  0.000  0.000  0.000
Be  0.250  0.250  0.250



[12]
Crystalline LuGaPdAu at its relaxed geometry. Source: OQMD, functional GGA-PBE.

Output
Offset from the most stable computed form: 2.333 kcal/mol of atoms
Total magnetization: 0.000 μB/atom
Space-group type: F-43m

a = 4.711 Å, b = 4.711 Å, c = 4.711 Å
α = 60.00°, β = 60.00°, γ = 60.00°
Fractional positions:
Au  0.000  0.000  0.000
Pd  0.250  0.250  0.250
Lu  0.750  0.750  0.750
Ga  0.500  0.500  0.500